The following is a PBE calculation of an optimized crystal structure of SbHPtRh2, from Alexandria via LeMat-Bulk.

The value obtained for the density of states at the Fermi level is 2.753 states/eV per cell. For the calculated density, the calculation gives 13.04 Mg/m³. For the total energy, the calculation gives -0.21410 Ha/atom. The space group is P4/mmm (123). As for the total magnetization: 0.00 μB per atom.

Geometry as CIF:
```
data_SbHPtRh2
_space_group_name_H-M_alt 'P 1'
_space_group_IT_number 1
_cell_length_a 4.1126
_cell_length_b 4.1126
_cell_length_c 3.9424
_cell_angle_alpha 90.00
_cell_angle_beta 90.00
_cell_angle_gamma 90.00
loop_
_space_group_symop_operation_xyz
'x,y,z'
loop_
_atom_site_label
_atom_site_fract_x
_atom_site_fract_y
_atom_site_fract_z
_atom_site_occupancy
Sb1 0.0000 0.0000 0.0000 1
H1 0.5000 0.5000 0.5000 1
Pt1 0.5000 0.5000 0.0000 1
Rh1 0.0000 0.5000 0.5000 1
Rh2 0.5000 0.0000 0.5000 1
```